Material: TbPm5Te6
Method: DFT, PBE-GGA
State: optimized geometry

Summary:
E_form (uncorrected) = -1394 meV/atom
Electronic total energy = -5.33 eV/atom

Cell: 7.7233 7.7233 7.6936 Å, 99.62 99.62 120.17°
With the nearest neighbours (Å) after each atom.
Fractional coordinates of all 12 atoms:
Tb 0.0000 0.0000 0.0000  6 Te 3.09-3.11
Pm 0.1721 0.8279 0.5000  6 Te 3.15-3.18
Pm 0.3323 0.6677 0.0000  6 Te 3.14-3.18
Pm 0.5000 0.5000 0.5000  6 Te 3.14-3.18
Pm 0.6677 0.3323 0.0000  6 Te 3.14-3.18
Pm 0.8279 0.1721 0.5000  6 Te 3.15-3.18
Te 0.0824 0.4092 0.2461  1 Tb 3.09, 5 Pm 3.14-3.15
Te 0.2441 0.2441 0.7500  1 Tb 3.11, 5 Pm 3.18
Te 0.4092 0.0824 0.2461  1 Tb 3.09, 5 Pm 3.14-3.15
Te 0.5908 0.9176 0.7539  1 Tb 3.09, 5 Pm 3.14-3.15
Te 0.7559 0.7559 0.2500  1 Tb 3.11, 5 Pm 3.18
Te 0.9176 0.5908 0.7539  1 Tb 3.09, 5 Pm 3.14-3.15